Entry 1:
This record from Alexandria describes a relaxed TlV2MoW crystal. The functional is PBE-GGA.

Computed properties:
- Formation enthalpy at 0 K: 2711 meV per atom

abc: 4.6828 4.9544 4.6828
angles: 90.00 90.00 90.00
Closest atoms and distances in Å follow each position.
Element x y z (fractional)
V 0.5000 0.0000 0.0000  2 Tl 2.34
V 0.0000 0.0000 0.5000  2 Tl 2.34
Tl 0.0000 0.0000 0.0000  4 V 2.34, 2 Mo 2.48
Mo 0.0000 0.5000 0.0000  2 Tl 2.48
W 0.5000 0.5000 0.5000  4 Mo 3.31, 8 V 3.41



Entry 2:
This record from Alexandria describes a relaxed CeAu2I6 crystal. The functional is PBE-GGA.

Computed properties:
- Formation energy without anion corrections: -0.64 eV/atom
- Excess energy over the best structure of this formula in the dataset: 0 kJ/mol of formula units

abc: 7.6598 11.0298 11.0298
angles: 92.66 95.19 95.19
Closest atoms and distances in Å follow each position.
Element x y z (fractional)
Au 0.7147 0.3989 0.4007  2 I 2.60-2.61
I 0.6380 0.3283 0.9187  1 Ce 2.91
I 0.3884 0.9494 0.8233  2 Ce 3.08-3.17
Au 0.2147 0.4007 0.3989  2 I 2.60-2.61
I 0.5404 0.7226 0.5025  2 Au 2.60-2.61
I 0.1116 0.1767 0.0506  2 Ce 3.08-3.17
I 0.4596 0.2774 0.4975  2 Au 2.60-2.61
Ce 0.7500 0.0828 0.9172  6 I 2.91-3.17
I 0.9596 0.4975 0.2774  2 Au 2.60-2.61
Ce 0.2500 0.9172 0.0828  6 I 2.91-3.17
I 0.0404 0.5025 0.7226  2 Au 2.60-2.61
I 0.1380 0.9187 0.3283  1 Ce 2.91
I 0.6116 0.0506 0.1767  2 Ce 3.08-3.17
Au 0.7853 0.5993 0.6011  2 I 2.60-2.61
I 0.8884 0.8233 0.9494  2 Ce 3.08-3.17
I 0.8620 0.0813 0.6717  1 Ce 2.91
Au 0.2853 0.6011 0.5993  2 I 2.60-2.61
I 0.3620 0.6717 0.0813  1 Ce 2.91



Entry 3:
This record from Alexandria describes a relaxed Rb3Sm3SnTe8 crystal. The functional is PBE-GGA.

Computed properties:
- Formation energy without anion corrections: -1.11 eV/atom

abc: 9.0018 9.0154 10.2330
angles: 116.20 90.00 119.95
Closest atoms and distances in Å follow each position.
Element x y z (fractional)
Te 0.7344 0.4688 0.7033  3 Sm 3.16
Te 0.2270 0.9694 0.6964  1 Sn 3.06, 2 Sm 3.16
Rb 0.5000 0.5000 0.0000  6 Te 3.69-3.70
Te 0.7425 0.9694 0.6964  1 Sn 3.06, 2 Sm 3.16
Te 0.2656 0.5312 0.2967  3 Sm 3.16
Sn 0.0000 0.0000 0.5000  6 Te 3.06
Rb 0.0000 0.0000 0.0000  6 Te 3.69-3.70
Sm 0.5000 0.0000 0.5000  6 Te 3.16
Sm 0.0000 0.5000 0.5000  6 Te 3.16
Sm 0.5000 0.5000 0.5000  6 Te 3.16
Te 0.2575 0.0306 0.3036  1 Sn 3.06, 2 Sm 3.16
Te 0.7730 0.0306 0.3036  1 Sn 3.06, 2 Sm 3.16
Te 0.2272 0.4543 0.6965  1 Sn 3.06, 2 Sm 3.16
Te 0.7728 0.5457 0.3035  1 Sn 3.06, 2 Sm 3.16
Rb 0.0000 0.5000 0.0000  6 Te 3.69-3.70



Entry 4:
This record from Alexandria describes a relaxed La2DyTh3Bi6 crystal. The functional is PBE-GGA.

Computed properties:
- Formation enthalpy at 0 K: -781 meV per atom

abc: 4.6107 9.2228 10.3240
angles: 103.13 102.90 90.00
Closest atoms and distances in Å follow each position.
Element x y z (fractional)
Bi 0.6632 0.0782 0.3264  1 Dy 3.19, 3 Th 3.24-3.28, 2 La 3.28
Bi 0.6656 0.5858 0.3312  3 Th 3.24, 3 La 3.29-3.30
La 0.8344 0.6681 0.6688  6 Bi 3.28-3.30
Bi 0.3368 0.9218 0.6736  1 Dy 3.19, 3 Th 3.24-3.28, 2 La 3.28
Bi 0.3344 0.4142 0.6688  3 Th 3.24, 3 La 3.29-3.30
Bi 0.0026 0.7566 0.0052  2 Dy 3.23, 3 Th 3.26-3.30, 1 La 3.29
Th 0.8308 0.1653 0.6616  6 Bi 3.24-3.28
Bi 0.9974 0.2434 0.9948  2 Dy 3.23, 3 Th 3.26-3.30, 1 La 3.29
Th 0.5000 0.5000 0.0000  6 Bi 3.24-3.30
La 0.1656 0.3319 0.3312  6 Bi 3.28-3.30
Th 0.1692 0.8347 0.3384  6 Bi 3.24-3.28
Dy 0.5000 0.0000 0.0000  6 Bi 3.19-3.23



Entry 5:
This record from Alexandria describes a relaxed Ca3MnP crystal. The functional is PBE-GGA.

Computed properties:
- Formation enthalpy at 0 K: 473 meV per atom
- Excess energy over the best structure of this formula in the dataset: 296 kJ/mol of formula units

abc: 5.2190 5.2190 5.2190
angles: 90.00 90.00 90.00
Closest atoms and distances in Å follow each position.
Element x y z (fractional)
Ca 0.0000 0.5000 0.0000  2 Mn 2.61
P 0.5000 0.5000 0.5000  12 Ca 3.69
Ca 0.5000 0.0000 0.0000  2 Mn 2.61
Ca 0.0000 0.0000 0.5000  2 Mn 2.61
Mn 0.0000 0.0000 0.0000  6 Ca 2.61



Entry 6:
This record from Alexandria describes a relaxed Ho14ThSc crystal. The functional is PBE-GGA.

Computed properties:
- Formation enthalpy at 0 K: 24 meV per atom

abc: 7.0228 7.0228 9.9191
angles: 90.00 90.00 89.99
Closest atoms and distances in Å follow each position.
Element x y z (fractional)
Ho 0.6253 0.8753 0.2468  1 Th 3.49, 10 Ho 3.49-3.53, 1 Sc 3.49
Ho 0.1247 0.3747 0.2468  1 Th 3.49, 10 Ho 3.49-3.53, 1 Sc 3.49
Ho 0.6249 0.3751 0.7531  1 Sc 3.49, 1 Th 3.49, 10 Ho 3.49-3.53
Ho 0.8750 0.1250 0.5000  12 Ho 3.51-3.53
Ho 0.1251 0.8749 0.7532  1 Sc 3.49, 10 Ho 3.49-3.53, 1 Th 3.49
Ho 0.1247 0.3747 0.7532  1 Th 3.49, 10 Ho 3.49-3.53, 1 Sc 3.49
Ho 0.3750 0.1250 0.0000  8 Ho 3.49, 2 Th 3.51, 2 Sc 3.51
Ho 0.6249 0.3751 0.2469  1 Sc 3.49, 1 Th 3.49, 10 Ho 3.49-3.53
Ho 0.3750 0.6250 0.5000  12 Ho 3.51-3.53
Ho 0.6253 0.8753 0.7532  1 Th 3.49, 10 Ho 3.49-3.53, 1 Sc 3.49
Ho 0.3750 0.1249 0.5000  12 Ho 3.51-3.53
Ho 0.8751 0.6250 0.5000  12 Ho 3.51-3.53
Ho 0.8750 0.6250 0.0000  8 Ho 3.49, 2 Th 3.51, 2 Sc 3.51
Ho 0.1251 0.8749 0.2468  1 Sc 3.49, 10 Ho 3.49-3.53, 1 Th 3.49
Th 0.8749 0.1251 0.0000  12 Ho 3.49-3.51
Sc 0.3750 0.6250 0.0000  12 Ho 3.49-3.51



Entry 7:
This record from Alexandria describes a relaxed AcTmAl2Ag2 crystal. The functional is PBE-GGA.

Computed properties:
- Formation enthalpy at 0 K: -359 meV per atom

abc: 4.6679 4.6679 7.7291
angles: 90.00 90.00 120.00
Closest atoms and distances in Å follow each position.
Element x y z (fractional)
Al 0.6667 0.3333 0.7040  3 Ag 2.70
Tm 0.0000 0.0000 0.5000  6 Ag 3.09, 6 Al 3.12
Ac 0.0000 0.0000 0.0000  6 Al 3.54, 6 Ag 3.57, 2 Tm 3.86
Ag 0.3333 0.6667 0.6961  3 Al 2.70
Ag 0.6667 0.3333 0.3039  3 Al 2.70
Al 0.3333 0.6667 0.2960  3 Ag 2.70



Entry 8:
This record from Alexandria describes a relaxed Rb3NpAu2Se6 crystal. The functional is PBE-GGA.

Computed properties:
- Formation energy without anion corrections: -0.69 eV/atom

abc: 7.9113 7.9113 9.0623
angles: 90.00 90.00 120.00
Closest atoms and distances in Å follow each position.
Element x y z (fractional)
Se 0.8481 0.6962 0.6939  1 Au 2.49, 1 Np 2.72
Np 0.0000 0.0000 0.5000  6 Se 2.72
Se 0.6962 0.8481 0.3061  1 Au 2.49, 1 Np 2.72
Au 0.6667 0.3333 0.6900  3 Se 2.49
Rb 0.0000 0.0000 0.0000  6 Se 3.47
Au 0.3333 0.6667 0.3100  3 Se 2.49
Se 0.1519 0.3038 0.3061  1 Au 2.49, 1 Np 2.72
Se 0.3038 0.1519 0.6939  1 Au 2.49, 1 Np 2.72
Se 0.1519 0.8481 0.3061  1 Au 2.49, 1 Np 2.72
Rb 0.3333 0.6667 0.6817  1 Au 3.37
Rb 0.6667 0.3333 0.3183  1 Au 3.37
Se 0.8481 0.1519 0.6939  1 Au 2.49, 1 Np 2.72



Entry 9:
This record from Alexandria describes a relaxed Sc8CoAg2 crystal. The functional is PBE-GGA.

Computed properties:
- Formation enthalpy at 0 K: -168 meV per atom
- Excess energy over the best structure of this formula in the dataset: 0 kJ/mol of formula units

abc: 4.8785 6.4043 8.3128
angles: 109.02 107.06 90.00
Closest atoms and distances in Å follow each position.
Element x y z (fractional)
Sc 0.4072 0.5776 0.8144  1 Co 2.60
Sc 0.1961 0.2872 0.3922  1 Ag 2.73
Sc 0.6560 0.9552 0.3120  1 Co 2.59, 1 Ag 2.76
Sc 0.5928 0.4224 0.1856  1 Co 2.60
Sc 0.8039 0.7128 0.6078  1 Ag 2.73
Co 0.5000 0.0000 0.0000  8 Sc 2.59-2.87
Ag 0.8183 0.3000 0.6365  5 Sc 2.73-3.04
Ag 0.1817 0.7000 0.3635  5 Sc 2.73-3.04
Sc 0.3440 0.0448 0.6880  1 Co 2.59, 1 Ag 2.76
Sc 0.0238 0.7917 0.0476  1 Ag 2.77, 2 Co 2.87, 3 Sc 3.01-3.09
Sc 0.9762 0.2083 0.9524  1 Ag 2.77, 2 Co 2.87, 3 Sc 3.01-3.09



Entry 10:
This record from Alexandria describes a relaxed TmPu4Pd5 crystal. The functional is PBE-GGA.

Computed properties:
- Formation enthalpy at 0 K: -75 meV per atom

abc: 3.3882 3.3882 18.2237
angles: 90.00 90.00 90.00
Closest atoms and distances in Å follow each position.
Element x y z (fractional)
Tm 0.0000 0.0000 0.0000  8 Pd 2.91
Pd 0.5000 0.5000 0.3084  8 Pu 2.94-3.09
Pu 0.0000 0.0000 0.4020  8 Pd 2.94-2.99
Pd 0.5000 0.5000 0.6916  8 Pu 2.94-3.09
Pd 0.5000 0.5000 0.9090  4 Tm 2.91, 4 Pu 3.13
Pd 0.5000 0.5000 0.5000  8 Pu 2.99
Pu 0.0000 0.0000 0.5980  8 Pd 2.94-2.99
Pu 0.0000 0.0000 0.2016  8 Pd 3.09-3.13, 4 Pu 3.39
Pu 0.0000 0.0000 0.7984  8 Pd 3.09-3.13, 4 Pu 3.39
Pd 0.5000 0.5000 0.0910  4 Tm 2.91, 4 Pu 3.13



Entry 11:
This record from Alexandria describes a relaxed Tc2NiB2 crystal. The functional is PBE-GGA.

Computed properties:
- Formation enthalpy at 0 K: -34 meV per atom
- Excess energy over the best structure of this formula in the dataset: 145 kJ/mol of formula units

abc: 4.3182 4.4278 6.0019
angles: 111.65 90.00 90.00
Closest atoms and distances in Å follow each position.
Element x y z (fractional)
Ni 0.0000 0.0000 0.0000  4 B 2.06, 2 Ni 2.16
Tc 0.7500 0.4142 0.8284  6 B 2.33-2.36
B 0.2500 0.6013 0.7878  1 B 1.84
B 0.7500 0.3987 0.2122  1 B 1.84
B 0.7500 0.8135 0.2122  1 B 1.84
Ni 0.5000 0.0000 0.0000  4 B 2.06, 2 Ni 2.16
Tc 0.2500 0.2223 0.4446  2 B 2.12
Tc 0.7500 0.7777 0.5554  2 B 2.12
Tc 0.2500 0.5858 0.1716  6 B 2.33-2.36
B 0.2500 0.1865 0.7878  1 B 1.84



Entry 12:
This record from Alexandria describes a relaxed Sm4Al3Tl crystal. The functional is PBE-GGA.

Computed properties:
- Formation enthalpy at 0 K: -343 meV per atom
- Excess energy over the best structure of this formula in the dataset: 23 kJ/mol of formula units

abc: 4.5560 4.2768 11.4665
angles: 90.00 90.00 90.00
Closest atoms and distances in Å follow each position.
Element x y z (fractional)
Al 0.5000 0.0000 0.9202  2 Tl 2.82
Sm 0.5000 0.5000 0.3661  6 Al 3.21-3.26, 1 Tl 3.28
Al 0.0000 0.5000 0.5694  2 Al 2.67
Sm 0.0000 0.0000 0.1418  4 Tl 3.20, 3 Al 3.30-3.41
Sm 0.0000 0.5000 0.8536  5 Al 3.22-3.26, 2 Tl 3.46
Tl 0.5000 0.5000 0.0803  2 Al 2.82
Al 0.0000 0.0000 0.4296  2 Al 2.67
Sm 0.5000 0.0000 0.6389  7 Al 3.22-3.31



| no. | E_tot (eV per atom) | spin magnetization (μB/cell) |
| --- | --- | --- |
| 1 | -6.1663 | 0.0 |
| 2 | -3.0579 | 0.3 |
| 3 | -4.1873 | 0.0 |
| 4 | -5.7813 | 0.0 |
| 5 | -3.6442 | 2.2 |
| 6 | -4.8414 | 0.0 |
| 7 | -3.9874 | 0.0 |
| 8 | -4.2984 | 0.9 |
| 9 | -5.9370 | 0.0 |
| 10 | -8.8511 | 11.2 |
| 11 | -8.0078 | 0.0 |
| 12 | -4.4023 | 0.0 |